Compound: K2TlOs
Source: Alexandria via LeMat-Bulk
Functional: PBE-GGA
Structure: relaxed

Properties
As for the mass density: 7.7 Mg/m³. Its density of states at the Fermi level is 2.547 states/eV/f.u. The energy of formation is 1.0407 eV per atom. As for the excess energy over the best structure of this formula in the dataset: 0.3377 eV per atom. For the volume, the calculation gives 101.4 Å³/f.u.

abc: 6.4200 6.4200 3.0076
angles: 89.90 89.90 125.15
Closest atoms and distances in Å follow each position.
Element x y z (fractional)
K: 0.0000 0.0000 0.0000  4 K 2.96-3.01
K: 0.5000 0.5000 0.0000  4 K 2.96-3.01
Os: 0.5000 0.0000 0.5000  2 Tl 2.96, 2 Os 3.01
Tl: 0.0000 0.5000 0.5000  2 Os 2.96, 2 Tl 3.01